# 1
# CrInIr | Alexandria | GGA-PBEsol | relaxed
# Total moment ... 2.21 Bohr magnetons per cell
# Theoretical density ... 12.7 Mg/m³
# E_tot ... -22.3 eV for the cell shown
data_CrInIr
_symmetry_space_group_name_H-M 'P -6 m 2'
_symmetry_Int_Tables_number 187
_symmetry_space_group_name_Hall 'P -6 2'
_cell_length_a 4.3260
_cell_length_b 4.3260
_cell_length_c 2.8980
_cell_angle_alpha 90.00
_cell_angle_beta 90.00
_cell_angle_gamma 120.00
loop_
_atom_site_label
_atom_site_fract_x
_atom_site_fract_y
_atom_site_fract_z
Cr1 0.0000 0.0000 0.0000
In1 0.6667 0.3333 0.5000
Ir1 0.3333 0.6667 0.0000

# 2
# YAl2 | Alexandria | GGA-PBEsol | relaxed
# Total moment ... 0.00 Bohr magnetons per cell
# Theoretical density ... 3.8 Mg/m³
# E_tot ... -63.4 eV for the cell shown
data_YAl2
_symmetry_space_group_name_H-M 'C m c m'
_symmetry_Int_Tables_number 63
_symmetry_space_group_name_Hall '-C 2c 2'
_cell_length_a 10.841
_cell_length_b 4.860
_cell_length_c 4.680
_cell_angle_alpha 90.00
_cell_angle_beta 90.00
_cell_angle_gamma 90.00
loop_
_atom_site_label
_atom_site_fract_x
_atom_site_fract_y
_atom_site_fract_z
Y1 0.000 0.233 0.250
Al1 0.191 0.324 0.750

# 3
# MnAl3Tl | Alexandria | GGA-PBEsol | relaxed
# Total moment ... 0.00 Bohr magnetons per cell
# Theoretical density ... 5.7 Mg/m³
# E_tot ... -23.4 eV for the cell shown
data_MnAl3Tl
_symmetry_space_group_name_H-M 'P m -3 m'
_symmetry_Int_Tables_number 221
_symmetry_space_group_name_Hall '-P 4 2 3'
_cell_length_a 4.632
_cell_length_b 4.632
_cell_length_c 4.632
_cell_angle_alpha 90.00
_cell_angle_beta 90.00
_cell_angle_gamma 90.00
loop_
_atom_site_label
_atom_site_fract_x
_atom_site_fract_y
_atom_site_fract_z
Mn1 0.000 0.000 0.000
Al1 0.000 0.000 0.500
Tl1 0.500 0.500 0.500

# 4
# Mg5Sc | Alexandria | GGA-PBEsol | relaxed
# Total moment ... 0.00 Bohr magnetons per cell
# Theoretical density ... 2.0 Mg/m³
# E_tot ... -30.6 eV for the cell shown
data_Mg5Sc
_symmetry_space_group_name_H-M 'C m m m'
_symmetry_Int_Tables_number 65
_symmetry_space_group_name_Hall '-C 2 2'
_cell_length_a 4.415
_cell_length_b 13.162
_cell_length_c 4.644
_cell_angle_alpha 90.00
_cell_angle_beta 90.00
_cell_angle_gamma 90.00
loop_
_atom_site_label
_atom_site_fract_x
_atom_site_fract_y
_atom_site_fract_z
Mg1 0.000 0.000 0.000
Mg2 0.000 0.170 0.500
Mg3 0.000 0.336 0.000
Sc1 0.000 0.500 0.500

# 5
# TlCuPt | Alexandria | GGA-PBEsol | relaxed
# Total moment ... 0.00 Bohr magnetons per cell
# Theoretical density ... 13.2 Mg/m³
# E_tot ... -50.5 eV for the cell shown
data_TlCuPt
_symmetry_space_group_name_H-M 'F -4 3 m'
_symmetry_Int_Tables_number 216
_symmetry_space_group_name_Hall 'F -4 2 3'
_cell_length_a 6.146
_cell_length_b 6.146
_cell_length_c 6.146
_cell_angle_alpha 90.00
_cell_angle_beta 90.00
_cell_angle_gamma 90.00
loop_
_atom_site_label
_atom_site_fract_x
_atom_site_fract_y
_atom_site_fract_z
Tl1 0.000 0.000 0.000
Cu1 0.250 0.250 0.250
Pt1 0.250 0.250 0.750

# 6
# YCo2Au | Alexandria | GGA-PBEsol | relaxed
# Total moment ... 4.23 Bohr magnetons per cell
# Polymorph energy (0 for the lowest one) ... 3.3 kJ/mol of atoms
# Theoretical density ... 10.3 Mg/m³
# E_tot ... -52.9 eV for the cell shown
data_YCo2Au
_symmetry_space_group_name_H-M 'A m m 2'
_symmetry_Int_Tables_number 38
_symmetry_space_group_name_Hall 'A 2 -2'
_cell_length_a 3.721
_cell_length_b 3.741
_cell_length_c 9.362
_cell_angle_alpha 90.00
_cell_angle_beta 90.00
_cell_angle_gamma 90.00
loop_
_atom_site_label
_atom_site_fract_x
_atom_site_fract_y
_atom_site_fract_z
Y1 0.000 0.000 0.000
Co1 0.000 0.000 0.282
Co2 0.500 0.000 0.402
Au1 0.500 0.000 0.693

no.,density of states at the Fermi level (states/eV/f.u.)
1,3.10
2,2.01
3,3.53
4,3.91
5,1.28
6,4.21